Density functional theory data (PBE+U) for crystalline TaVZn2O6 at its relaxed geometry.

Cell: 5.280 7.713 5.349 Å, 90.00 90.89 90.00°
Space group P2_1/m (No. 11)
Asymmetric unit:
Ta (0.000, 0.000, 0.000) x2
V (0.500, 0.000, 0.500) x2
Zn (0.017, 0.250, 0.490) x2
Zn (0.498, 0.750, 0.041) x2
O (0.121, 0.250, 0.061) x2
O (0.167, 0.563, 0.320) x4
O (0.319, 0.564, 0.828) x4
O (0.386, 0.250, 0.580) x2

Calculated values
Crystal system: monoclinic
Calculated volume in Å³ per atom: 10.89
Total DFT energy (no corrections) in eV/f.u.: -71.68